Record 1
Material: Ca2PbCl
Method: DFT, PBE
State: relaxed

abc: 3.602 3.602 10.138
angles: 90.00 90.00 90.00
Space group P4mm (No. 99)
One atom of each set of equivalent atoms:
Ca (0.000, 0.000, 0.000) x1
Ca (0.500, 0.500, 0.326) x1
Pb (0.500, 0.500, 0.768) x1
Cl (0.000, 0.000, 0.444) x1

Values from the calculation:
Its energy relative to the lowest polymorph listed for this composition is 372 meV/atom. The value obtained for the total energy is -12.772 eV/cell. Its formation energy without anion corrections is -3.2 eV per formula unit. Its magnetization is 0.0000 μB per atom.

Record 2
Material: CaPbCl2
Method: DFT, PBE
State: relaxed

abc: 6.631 3.819 11.494
angles: 90.00 94.90 90.00
Space group C2/m (No. 12)
One atom of each set of equivalent atoms:
Ca (0.000, 0.000, 0.000) x2
Pb (0.000, 0.500, 0.500) x2
Cl (0.147, 0.500, 0.864) x4

Values from the calculation:
Its energy relative to the lowest polymorph listed for this composition is 6 meV/atom. The value obtained for the total energy is -30.972 eV/cell. Its formation energy without anion corrections is -6.1 eV per formula unit. Its magnetization is 0.0000 μB per atom.

Record 3
Material: Ca2PbCl
Method: DFT, PBE
State: relaxed

abc: 5.599 5.599 3.804
angles: 90.00 90.00 90.00
Space group P4mm (No. 99)
One atom of each set of equivalent atoms:
Ca (0.000, 0.500, 0.000) x2
Pb (0.000, 0.000, 0.500) x1
Cl (0.500, 0.500, 0.001) x1

Values from the calculation:
Its energy relative to the lowest polymorph listed for this composition is 0 meV/atom. The value obtained for the total energy is -14.261 eV/cell. Its formation energy without anion corrections is -4.7 eV per formula unit. Its magnetization is 0.0000 μB per atom.

Record 4
Material: CaPb3Cl8
Method: DFT, PBE
State: relaxed

abc: 18.023 5.637 9.523
angles: 90.00 109.77 90.00
Space group Cm (No. 8)
One atom of each set of equivalent atoms:
Ca (0.000, 0.000, 0.000) x2
Pb (0.088, 0.000, 0.583) x2
Pb (0.304, 0.000, 0.015) x2
Pb (0.395, 0.000, 0.609) x2
Cl (0.048, 0.500, 0.571) x2
Cl (0.079, 0.000, 0.289) x2
Cl (0.135, 0.000, 0.925) x2
Cl (0.252, 0.000, 0.681) x2
Cl (0.314, 0.000, 0.312) x2
Cl (0.350, 0.500, 0.020) x2
Cl (0.431, 0.500, 0.679) x2
Cl (0.469, 0.000, 0.963) x2

Values from the calculation:
The value obtained for the total energy is -90.083 eV/cell. Its formation energy without anion corrections is -17.1 eV per formula unit. Its magnetization is 0.0000 μB per atom.

Record 5
Material: Ca2PbCl6
Method: DFT, PBE
State: relaxed

abc: 7.0693 7.0693 6.2489
angles: 90.00 90.00 120.00
Space group P-31m (No. 162)
One atom of each set of equivalent atoms:
Ca (0.3333, 0.6667, 0.0000) x2
Pb (0.0000, 0.0000, 0.5000) x1
Cl (0.0000, 0.3465, 0.2398) x6

Values from the calculation:
Its energy relative to the lowest polymorph listed for this composition is 0 meV/atom. The value obtained for the total energy is -36.581 eV/cell. Its formation energy without anion corrections is -17.8 eV per formula unit. Its magnetization is 0.0000 μB per atom.

Record 6
Material: CaPb2Cl
Method: DFT, PBE
State: relaxed

abc: 3.586 6.172 10.857
angles: 90.00 90.00 90.00
Space group Imm2 (No. 44)
One atom of each set of equivalent atoms:
Ca (0.000, 0.000, 0.000) x2
Pb (0.000, 0.000, 0.466) x2
Pb (0.000, 0.500, 0.227) x2
Cl (0.000, 0.500, 0.684) x2

Values from the calculation:
Its energy relative to the lowest polymorph listed for this composition is 179 meV/atom. The value obtained for the total energy is -28.000 eV/cell. Its formation energy without anion corrections is -2.7 eV per formula unit. Its magnetization is 0.0000 μB per atom.

Record 7
Material: Ca2PbCl
Method: DFT, PBE
State: relaxed

abc: 12.236 3.775 5.296
angles: 90.00 90.49 90.00
Space group Cm (No. 8)
One atom of each set of equivalent atoms:
Ca (0.000, 0.000, 0.000) x2
Ca (0.240, 0.500, 0.452) x2
Pb (0.269, 0.000, 0.947) x2
Cl (0.017, 0.500, 0.408) x2

Values from the calculation:
Its energy relative to the lowest polymorph listed for this composition is 96 meV/atom. The value obtained for the total energy is -27.757 eV/cell. Its formation energy without anion corrections is -4.3 eV per formula unit. Its magnetization is 0.0000 μB per atom.

Record 8
Material: Ca2PbCl
Method: DFT, PBE
State: relaxed

abc: 7.744 7.744 7.744
angles: 90.00 90.00 90.00
Space group Fm-3m (No. 225)
One atom of each set of equivalent atoms:
Ca (0.250, 0.250, 0.250) x8
Pb (0.000, 0.000, 0.000) x4
Cl (0.000, 0.000, 0.500) x4

Values from the calculation:
Its energy relative to the lowest polymorph listed for this composition is 329 meV/atom. The value obtained for the total energy is -51.774 eV/cell. Its formation energy without anion corrections is -3.4 eV per formula unit. Its magnetization is 0.0000 μB per atom.

Record 9
Material: Ca2PbCl
Method: DFT, PBE
State: relaxed

abc: 4.1802 4.1802 24.5676
angles: 90.00 90.00 120.00
Space group R3m (No. 160, hexagonal axes)
One atom of each set of equivalent atoms:
Ca (0.0000, 0.0000, 0.0000) x3
Ca (0.0000, 0.0000, 0.1680) x3
Pb (0.0000, 0.0000, 0.5834) x3
Cl (0.0000, 0.0000, 0.4113) x3

Values from the calculation:
Its energy relative to the lowest polymorph listed for this composition is 173 meV/atom. The value obtained for the total energy is -40.710 eV/cell. Its formation energy without anion corrections is -4.0 eV per formula unit. Its magnetization is 0.0000 μB per atom.

Record 10
Material: CaPb4Cl
Method: DFT, PBE
State: relaxed

abc: 9.176 9.176 9.176
angles: 90.00 90.00 90.00
Space group F-43m (No. 216)
One atom of each set of equivalent atoms:
Ca (0.000, 0.000, 0.000) x4
Pb (0.126, 0.126, 0.374) x16
Cl (0.250, 0.250, 0.750) x4

Values from the calculation:
The value obtained for the total energy is -80.303 eV/cell. Its formation energy without anion corrections is -1.4 eV per formula unit. Its magnetization is 0.0000 μB per atom.

Record 11
Material: Ca3Pb5Cl12
Method: DFT, PBE
State: relaxed

abc: 18.573 18.573 18.573
angles: 90.00 90.00 90.00
Space group Ia-3d (No. 230)
One atom of each set of equivalent atoms:
Ca (0.000, 0.250, 0.125) x24
Pb (0.000, 0.000, 0.000) x16
Pb (0.000, 0.250, 0.375) x24
Cl (0.002, 0.155, 0.519) x96

Values from the calculation:
The value obtained for the total energy is -568.751 eV/cell. Its formation energy without anion corrections is -24.4 eV per formula unit. Its magnetization is 0.2004 μB per atom.

Record 12
Material: Ca3PbCl
Method: DFT, PBE
State: relaxed

abc: 6.044 6.044 6.044
angles: 90.00 90.00 90.00
Space group Pm-3m (No. 221)
One atom of each set of equivalent atoms:
Ca (0.000, 0.000, 0.500) x3
Pb (0.000, 0.000, 0.000) x1
Cl (0.500, 0.500, 0.500) x1

Values from the calculation:
Its energy relative to the lowest polymorph listed for this composition is 288 meV/atom. The value obtained for the total energy is -13.825 eV/cell. Its formation energy without anion corrections is -2.3 eV per formula unit. Its magnetization is 0.0000 μB per atom.

Record 13
Material: CaPb2Cl
Method: DFT, PBE
State: relaxed

abc: 4.950 6.006 8.055
angles: 90.00 90.00 90.00
Space group Imm2 (No. 44)
One atom of each set of equivalent atoms:
Ca (0.000, 0.000, 0.000) x2
Pb (0.000, 0.000, 0.454) x2
Pb (0.000, 0.500, 0.205) x2
Cl (0.000, 0.500, 0.647) x2

Values from the calculation:
Its energy relative to the lowest polymorph listed for this composition is 205 meV/atom. The value obtained for the total energy is -27.788 eV/cell. Its formation energy without anion corrections is -2.6 eV per formula unit. Its magnetization is 0.0000 μB per atom.

Record 14
Material: CaPb2Cl
Method: DFT, PBE
State: relaxed

abc: 7.822 7.822 7.822
angles: 90.00 90.00 90.00
Space group Fm-3m (No. 225)
One atom of each set of equivalent atoms:
Ca (0.000, 0.000, 0.000) x4
Pb (0.250, 0.250, 0.250) x8
Cl (0.000, 0.000, 0.500) x4

Values from the calculation:
Its energy relative to the lowest polymorph listed for this composition is 644 meV/atom. The value obtained for the total energy is -48.561 eV/cell. Its formation energy without anion corrections is -0.9 eV per formula unit. Its magnetization is 0.0000 μB per atom.

Record 15
Material: Ca2PbCl
Method: DFT, PBE
State: relaxed

abc: 7.974 7.974 3.567
angles: 90.00 90.85 90.00
Space group C2/m (No. 12)
One atom of each set of equivalent atoms:
Ca (0.250, 0.250, 0.000) x4
Pb (0.000, 0.000, 0.500) x2
Cl (0.000, 0.500, 0.500) x2

Values from the calculation:
Its energy relative to the lowest polymorph listed for this composition is 164 meV/atom. The value obtained for the total energy is -27.212 eV/cell. Its formation energy without anion corrections is -4.0 eV per formula unit. Its magnetization is 0.0000 μB per atom.

Record 16
Material: CaPb2Cl
Method: DFT, PBE
State: relaxed

abc: 3.702 3.675 9.282
angles: 90.00 90.12 90.00
Space group Pm (No. 6)
One atom of each set of equivalent atoms:
Ca (0.000, 0.000, 0.000) x1
Pb (0.500, 0.500, 0.746) x1
Pb (0.999, 0.000, 0.529) x1
Cl (0.501, 0.500, 0.140) x1

Values from the calculation:
Its energy relative to the lowest polymorph listed for this composition is 26 meV/atom. The value obtained for the total energy is -14.610 eV/cell. Its formation energy without anion corrections is -3.3 eV per formula unit. Its magnetization is 0.0000 μB per atom.

Record 17
Material: Ca2PbCl
Method: DFT, PBE
State: relaxed

abc: 4.2894 4.2894 22.9713
angles: 90.00 90.00 120.00
Space group R-3m (No. 166, hexagonal axes)
One atom of each set of equivalent atoms:
Ca (0.0000, 0.0000, 0.2490) x6
Pb (0.0000, 0.0000, 0.0000) x3
Cl (0.0000, 0.0000, 0.5000) x3

Values from the calculation:
Its energy relative to the lowest polymorph listed for this composition is 118 meV/atom. The value obtained for the total energy is -41.362 eV/cell. Its formation energy without anion corrections is -4.2 eV per formula unit. Its magnetization is 0.0000 μB per atom.

Record 18
Material: CaPbCl2
Method: DFT, PBE
State: relaxed

abc: 3.933 5.485 5.755
angles: 90.00 109.76 90.00
Space group Pm (No. 6)
One atom of each set of equivalent atoms:
Ca (0.000, 0.000, 0.000) x1
Pb (0.346, 0.500, 0.687) x1
Cl (0.079, 0.500, 0.159) x1
Cl (0.664, 0.000, 0.331) x1

Values from the calculation:
Its energy relative to the lowest polymorph listed for this composition is 325 meV/atom. The value obtained for the total energy is -14.210 eV/cell. Its formation energy without anion corrections is -4.8 eV per formula unit. Its magnetization is 0.0002 μB per atom.

Record 19
Material: Ca2PbCl
Method: DFT, PBE
State: relaxed

abc: 3.800 4.164 15.606
angles: 90.00 90.00 90.00
Space group Imm2 (No. 44)
One atom of each set of equivalent atoms:
Ca (0.000, 0.000, 0.000) x2
Ca (0.000, 0.500, 0.249) x2
Pb (0.000, 0.500, 0.850) x2
Cl (0.000, 0.000, 0.594) x2

Values from the calculation:
Its energy relative to the lowest polymorph listed for this composition is 187 meV/atom. The value obtained for the total energy is -27.026 eV/cell. Its formation energy without anion corrections is -4.0 eV per formula unit. Its magnetization is 0.0000 μB per atom.

Record 20
Material: CaPb2Cl
Method: DFT, PBE
State: relaxed

abc: 4.901 4.901 5.722
angles: 90.00 90.00 90.00
Space group P4/mmm (No. 123)
One atom of each set of equivalent atoms:
Ca (0.000, 0.000, 0.000) x1
Pb (0.500, 0.500, 0.238) x2
Cl (0.000, 0.000, 0.500) x1

Values from the calculation:
Its energy relative to the lowest polymorph listed for this composition is 347 meV/atom. The value obtained for the total energy is -13.328 eV/cell. Its formation energy without anion corrections is -2.1 eV per formula unit. Its magnetization is 0.0000 μB per atom.

Record 21
Material: CaPbCl6
Method: DFT, PBE
State: relaxed

abc: 6.663 12.434 6.637
angles: 90.00 106.53 90.00
Space group C2/m (No. 12)
One atom of each set of equivalent atoms:
Ca (0.000, 0.000, 0.000) x2
Pb (0.000, 0.500, 0.500) x2
Cl (0.231, 0.356, 0.734) x8
Cl (0.244, 0.500, 0.260) x4

Values from the calculation:
The value obtained for the total energy is -53.376 eV/cell. Its formation energy without anion corrections is -9.9 eV per formula unit. Its magnetization is 0.0000 μB per atom.

Record 22
Material: CaPb2Cl
Method: DFT, PBE
State: relaxed

abc: 4.354 4.354 26.638
angles: 90.00 90.00 90.00
Space group I-42d (No. 122)
One atom of each set of equivalent atoms:
Ca (0.000, 0.000, 0.000) x4
Pb (0.241, 0.250, 0.125) x8
Cl (0.000, 0.000, 0.500) x4

Values from the calculation:
Its energy relative to the lowest polymorph listed for this composition is 223 meV/atom. The value obtained for the total energy is -55.286 eV/cell. Its formation energy without anion corrections is -2.6 eV per formula unit. Its magnetization is 0.0000 μB per atom.

Record 23
Material: CaPbCl2
Method: DFT, PBE
State: relaxed

abc: 3.586 6.801 9.693
angles: 90.00 90.00 90.00
Space group Immm (No. 71)
One atom of each set of equivalent atoms:
Ca (0.000, 0.000, 0.000) x2
Pb (0.000, 0.000, 0.500) x2
Cl (0.000, 0.500, 0.294) x4

Values from the calculation:
Its energy relative to the lowest polymorph listed for this composition is 231 meV/atom. The value obtained for the total energy is -29.170 eV/cell. Its formation energy without anion corrections is -5.2 eV per formula unit. Its magnetization is 0.0000 μB per atom.

Record 24
Material: CaPbCl4
Method: DFT, PBE
State: relaxed

abc: 6.999 7.014 6.998
angles: 90.00 90.96 90.00
Space group P2_1/c (No. 14)
One atom of each set of equivalent atoms:
Ca (0.000, 0.000, 0.000) x2
Pb (0.500, 0.000, 0.500) x2
Cl (0.150, 0.165, 0.670) x4
Cl (0.336, 0.649, 0.643) x4

Values from the calculation:
The value obtained for the total energy is -47.223 eV/cell. Its formation energy without anion corrections is -10.5 eV per formula unit. Its magnetization is 0.0000 μB per atom.